Below is PrSiTe after structural relaxation, with properties calculated at the PBE level.

a b c (Å): 7.0480 7.0480 7.0480
angles (deg): 90.00 90.00 90.00
Space group F-43m (No. 216)
Asymmetric unit:
Pr 0.0000 0.0000 0.0000 x4
Si 0.2500 0.2500 0.2500 x4
Te 0.0000 0.0000 0.5000 x4

Summary:
Volume   29.18 Å³/atom
Energy   -4.684 eV/atom
Magnetization   0.3 μB/f.u.
Density   5627 kg/m3



Below is Ta4AlNiN2 after structural relaxation, with properties calculated at the PBE level.

a b c (Å): 3.0970 3.0970 13.2334
angles (deg): 90.00 90.00 120.00
Space group P-6m2 (No. 187)
Asymmetric unit:
Ta 0.0000 0.0000 0.1468 x2
Ta 0.6667 0.3333 0.3317 x2
Al 0.0000 0.0000 0.5000 x1
Ni 0.6667 0.3333 0.0000 x1
N 0.3333 0.6667 0.2383 x2

Summary:
Volume   13.74 Å³/atom
Energy   -9.729 eV/atom
Magnetization   0.0 μB/f.u.
Density   12652 kg/m3



Below is Er3Ga3GePd2 after structural relaxation, with properties calculated at the PBE level.

a b c (Å): 7.4119 7.4119 3.7544
angles (deg): 90.00 90.00 120.00
Space group P-62m (No. 189)
Asymmetric unit:
Er 0.0000 0.3957 0.0000 x3
Ga 0.0000 0.7304 0.5000 x3
Ge 0.0000 0.0000 0.0000 x1
Pd 0.3333 0.6667 0.5000 x2

Summary:
Volume   19.85 Å³/atom
Energy   -4.985 eV/atom
Magnetization   0.0 μB/f.u.
Density   9263 kg/m3



Below is SmHoCuSe3 after structural relaxation, with properties calculated at the PBE level.

a b c (Å): 3.9265 13.2901 10.4148
angles (deg): 90.00 90.00 90.00
Space group Cmcm (No. 63)
Asymmetric unit:
Sm 0.0000 0.2333 0.2500 x4
Ho 0.0000 0.0000 0.0000 x4
Cu 0.0000 0.4729 0.7500 x4
Se 0.0000 0.0914 0.7500 x4
Se 0.0000 0.3541 0.5693 x8

Summary:
Volume   22.64 Å³/atom
Energy   -5.311 eV/atom
Magnetization   0.0 μB/f.u.
Density   7525 kg/m3



Below is Cs3CdCl5 after structural relaxation, with properties calculated at the PBE level.

a b c (Å): 9.1540 10.8221 13.5464
angles (deg): 90.00 90.00 90.00
Space group Pnma (No. 62)
Asymmetric unit:
Cs 0.0909 0.0235 0.1714 x8
Cs 0.0906 0.2500 0.4538 x4
Cd 0.1965 0.2500 0.8908 x4
Cl 0.0364 0.7500 0.0106 x4
Cl 0.1312 0.2500 0.7131 x4
Cl 0.1605 0.7500 0.7360 x4
Cl 0.1867 0.5527 0.4376 x8

Summary:
Volume   37.28 Å³/atom
Energy   -3.120 eV/atom
Density   3407 kg/m3



Below is CuNiSbAu after structural relaxation, with properties calculated at the PBE level.

a b c (Å): 6.3294 6.3294 6.3294
angles (deg): 90.00 90.00 90.00
Space group F-43m (No. 216)
Asymmetric unit:
Cu 0.0000 0.0000 0.0000 x4
Ni 0.0000 0.0000 0.5000 x4
Sb 0.2500 0.2500 0.7500 x4
Au 0.2500 0.2500 0.2500 x4

Summary:
Volume   15.85 Å³/atom
Energy   -4.138 eV/atom
Magnetization   0.0 μB/f.u.
Density   11551 kg/m3



Below is ScTaCoAs after structural relaxation, with properties calculated at the PBE level.

a b c (Å): 6.2828 6.2828 6.2828
angles (deg): 90.00 90.00 90.00
Space group F-43m (No. 216)
Asymmetric unit:
Sc 0.0000 0.0000 0.0000 x4
Ta 0.2500 0.2500 0.2500 x4
Co 0.2500 0.2500 0.7500 x4
As 0.0000 0.0000 0.5000 x4

Summary:
Volume   15.50 Å³/atom
Energy   -7.266 eV/atom
Magnetization   0.0 μB/f.u.
Density   9635 kg/m3



Below is Cu3Sn2Pt2 after structural relaxation, with properties calculated at the PBE level.

a b c (Å): 4.2703 4.2703 15.6371
angles (deg): 90.00 90.00 120.00
Space group P6_3/mmc (No. 194)
Asymmetric unit:
Cu 0.0000 0.0000 0.1714 x4
Cu 0.3333 0.6667 0.2500 x2
Sn 0.3333 0.6667 0.5779 x4
Pt 0.0000 0.0000 0.0000 x2
Pt 0.3333 0.6667 0.7500 x2

Summary:
Volume   17.64 Å³/atom
Energy   -4.717 eV/atom
Magnetization   0.0 μB/f.u.
Density   11004 kg/m3



Below is HfCdInFe after structural relaxation, with properties calculated at the PBE level.

a b c (Å): 6.7067 6.7067 6.7067
angles (deg): 90.00 90.00 90.00
Space group F-43m (No. 216)
Asymmetric unit:
Hf 0.0000 0.0000 0.0000 x4
Cd 0.2500 0.2500 0.2500 x4
In 0.2500 0.2500 0.7500 x4
Fe 0.0000 0.0000 0.5000 x4

Summary:
Volume   18.85 Å³/atom
Energy   -5.232 eV/atom
Magnetization   2.3 μB/f.u.
Density   10163 kg/m3



Below is NdSiTc after structural relaxation, with properties calculated at the PBE level.

a b c (Å): 6.3857 6.3857 6.3857
angles (deg): 90.00 90.00 90.00
Space group F-43m (No. 216)
Asymmetric unit:
Nd 0.0000 0.0000 0.0000 x4
Si 0.2500 0.2500 0.2500 x4
Tc 0.0000 0.0000 0.5000 x4

Summary:
Volume   21.70 Å³/atom
Energy   -6.734 eV/atom
Magnetization   0.0 μB/f.u.
Density   6896 kg/m3



Below is Li8Hg3 after structural relaxation, with properties calculated at the PBE level.

a b c (Å): 7.8466 4.5368 10.6316
angles (deg): 90.00 104.14 90.00
Space group C2/m (No. 12)
Asymmetric unit:
Li 0.0897 0.0000 0.2687 x4
Li 0.1373 0.5000 0.9120 x4
Li 0.1801 0.0000 0.5404 x4
Li 0.2286 0.5000 0.1859 x4
Hg 0.0000 0.0000 0.0000 x2
Hg 0.0491 0.5000 0.6473 x4

Summary:
Volume   16.68 Å³/atom
Energy   -1.754 eV/atom
Density   5948 kg/m3



Below is AlNiPtW after structural relaxation, with properties calculated at the PBE level.

a b c (Å): 6.1379 6.1379 6.1379
angles (deg): 90.00 90.00 90.00
Space group F-43m (No. 216)
Asymmetric unit:
Al 0.0000 0.0000 0.0000 x4
Ni 0.2500 0.2500 0.2500 x4
Pt 0.2500 0.2500 0.7500 x4
W 0.0000 0.0000 0.5000 x4

Summary:
Volume   14.45 Å³/atom
Energy   -7.254 eV/atom
Magnetization   0.0 μB/f.u.
Density   13345 kg/m3